Computed, not measured: a geometry-optimized Pm2SmMg structure at the PBE-GGA level of DFT.

Values from the calculation:
total DFT energy (no corrections) = -15.62 eV for the cell shown
density of states at the Fermi level = 1.5009 states/eV/atom
formation energy = 50 meV/atom
ΔE to the lowest computed polymorph = 0.0868 eV/atom
total moment = 0.00 μB/f.u.

Lattice parameters (Å, degrees): 5.6259 5.6259 5.6259 60.00 60.00 60.00
Atoms (fractional coordinates):
Pm1 0.7500 0.7500 0.7500
Pm2 0.2500 0.2500 0.2500
Sm1 0.5000 0.5000 0.5000
Mg1 0.0000 0.0000 0.0000

***

Computed, not measured: a geometry-optimized Pm2Sm7Mg2 structure at the PBE-GGA level of DFT.

Values from the calculation:
total DFT energy (no corrections) = -45.54 eV for the cell shown
density of states at the Fermi level = 1.2125 states/eV/atom
formation energy = 17 meV/atom
ΔE to the lowest computed polymorph = 0.0000 eV/atom
total moment = 0.00 μB/f.u.

Lattice parameters (Å, degrees): 11.2109 9.4138 9.4096 86.31 61.75 33.39
Atoms (fractional coordinates):
Sm1 0.0000 0.5000 0.0000
Pm1 0.8219 0.7732 0.7199
Mg1 0.2719 0.5960 0.9055
Sm2 0.0853 0.8706 0.6402
Sm3 0.5349 0.6885 0.8238
Sm4 0.3671 0.9505 0.5447
Mg2 0.7281 0.4040 0.0945
Pm2 0.1781 0.2268 0.2801
Sm5 0.4651 0.3115 0.1762
Sm6 0.9147 0.1294 0.3598
Sm7 0.6329 0.0495 0.4553

***

Computed, not measured: a geometry-optimized Pm5SmMg4 structure at the PBE-GGA level of DFT.

Values from the calculation:
total DFT energy (no corrections) = -35.61 eV for the cell shown
density of states at the Fermi level = 1.1317 states/eV/atom
formation energy = -76 meV/atom
total moment = 0.00 μB/f.u.

Lattice parameters (Å, degrees): 3.8105 3.8105 20.6633 90.00 90.00 90.00
Atoms (fractional coordinates):
Pm1 0.5000 0.5000 0.1194
Pm2 0.5000 0.5000 0.3105
Pm3 0.5000 0.5000 0.8806
Mg1 0.0000 0.0000 0.2155
Pm4 0.5000 0.5000 0.6895
Sm1 0.0000 0.0000 0.0000
Mg2 0.0000 0.0000 0.4046
Pm5 0.5000 0.5000 0.5000
Mg3 0.0000 0.0000 0.5954
Mg4 0.0000 0.0000 0.7845

***

Computed, not measured: a geometry-optimized PmSm5Mg6 structure at the PBE-GGA level of DFT.

Values from the calculation:
total DFT energy (no corrections) = -39.16 eV for the cell shown
density of states at the Fermi level = 1.1518 states/eV/atom
formation energy = -104 meV/atom
total moment = 0.00 μB/f.u.

Lattice parameters (Å, degrees): 5.4456 7.7017 8.6108 90.00 71.58 90.00
Atoms (fractional coordinates):
Sm1 0.6668 0.0000 0.6661
Sm2 0.0000 0.5000 0.0000
Sm3 0.3332 0.0000 0.3339
Mg1 0.5000 0.2502 0.0000
Pm1 0.0000 0.0000 0.0000
Mg2 0.8333 0.7487 0.3344
Sm4 0.6661 0.5000 0.6674
Mg3 0.8332 0.2513 0.3344
Mg4 0.1667 0.2513 0.6656
Mg5 0.1668 0.7487 0.6656
Sm5 0.3339 0.5000 0.3326
Mg6 0.5000 0.7498 0.0000

***

Computed, not measured: a geometry-optimized Pm2Sm7Mg2 structure at the PBE-GGA level of DFT.

Values from the calculation:
total DFT energy (no corrections) = -45.00 eV for the cell shown
density of states at the Fermi level = 1.4707 states/eV/atom
formation energy = 66 meV/atom
ΔE to the lowest computed polymorph = 0.0491 eV/atom
total moment = 0.00 μB/f.u.

Lattice parameters (Å, degrees): 8.6511 6.6157 6.6157 95.44 77.73 77.73
Atoms (fractional coordinates):
Sm1 0.1776 0.4726 0.1158
Sm2 0.4153 0.8580 0.8580
Sm3 0.8224 0.5274 0.8842
Sm4 0.5847 0.1420 0.1420
Pm1 0.5000 0.3206 0.6794
Mg1 0.1652 0.6159 0.6159
Mg2 0.8348 0.3841 0.3841
Sm5 0.8224 0.8842 0.5274
Pm2 0.5000 0.6794 0.3206
Sm6 0.1776 0.1158 0.4726
Sm7 0.0000 0.0000 0.0000

***

Computed, not measured: a geometry-optimized PmSmMg2 structure at the PBE-GGA level of DFT.

Values from the calculation:
total DFT energy (no corrections) = -12.49 eV for the cell shown
density of states at the Fermi level = 1.1853 states/eV/atom
formation energy = 43 meV/atom
ΔE to the lowest computed polymorph = 0.1532 eV/atom
total moment = 0.00 μB/f.u.

Lattice parameters (Å, degrees): 3.5433 3.5433 11.1473 80.86 80.86 60.00
Atoms (fractional coordinates):
Mg1 0.2498 0.2498 0.2507
Sm1 0.5000 0.5000 0.5000
Pm1 0.0000 0.0000 0.0000
Mg2 0.7502 0.7502 0.7493

***

Computed, not measured: a geometry-optimized PmSm2Mg structure at the PBE-GGA level of DFT.

Values from the calculation:
total DFT energy (no corrections) = -15.93 eV for the cell shown
density of states at the Fermi level = 1.0792 states/eV/atom
formation energy = -36 meV/atom
ΔE to the lowest computed polymorph = 0.0000 eV/atom
total moment = 0.00 μB/f.u.

Lattice parameters (Å, degrees): 3.7154 3.7154 9.0853 90.00 90.00 90.00
Atoms (fractional coordinates):
Mg1 0.5000 0.5000 0.0000
Pm1 0.5000 0.5000 0.5000
Sm1 0.0000 0.0000 0.2260
Sm2 0.0000 0.0000 0.7740

***

Computed, not measured: a geometry-optimized PmSm3Mg4 structure at the PBE-GGA level of DFT.

Values from the calculation:
total DFT energy (no corrections) = -52.25 eV for the cell shown
density of states at the Fermi level = 1.1206 states/eV/atom
formation energy = -105 meV/atom
total moment = 0.00 μB/f.u.

Lattice parameters (Å, degrees): 5.4494 7.6958 10.8981 90.00 90.00 90.00
Atoms (fractional coordinates):
Mg1 0.9997 0.7508 0.7500
Sm1 0.0000 0.0000 0.0000
Mg2 0.0003 0.7508 0.2500
Mg3 0.5000 0.2492 0.0000
Mg4 0.5000 0.7508 0.0000
Sm2 0.4999 0.5000 0.7500
Sm3 0.5001 0.5000 0.2500
Mg5 0.5000 0.7508 0.5000
Pm1 0.0000 0.5000 0.5000
Mg6 0.5000 0.2492 0.5000
Mg7 0.0003 0.2492 0.2500
Sm4 0.0000 0.0000 0.5000
Sm5 0.4997 0.0000 0.7500
Pm2 0.0000 0.5000 0.0000
Mg8 0.9997 0.2492 0.7500
Sm6 0.5003 0.0000 0.2500